# 1
A plane-wave DFT calculation with meta-GGA SCAN was carried out for a crystal of Be2AuCl relaxed with PBEsol.

```
data_Be2AuCl
_chemical_formula_sum 'Be8 Au4 Cl4'
_symmetry_space_group_name_H-M 'F -4 3 m'
_symmetry_Int_Tables_number 216
_symmetry_space_group_name_Hall 'F -4 2 3'
_cell_length_a 6.245
_cell_length_b 6.245
_cell_length_c 6.245
_cell_angle_alpha 90.00
_cell_angle_beta 90.00
_cell_angle_gamma 90.00
loop_
_atom_site_label
_atom_site_fract_x
_atom_site_fract_y
_atom_site_fract_z
Be1 0.000 0.000 0.000
Be2 0.250 0.250 0.250
Au1 0.000 0.000 0.500
Cl1 0.250 0.250 0.750
```

## Properties
uncorrected energy = -327.34 eV for the cell shown
raw formation energy = 1.002 eV/atom
offset from the most stable computed form = 378 meV/atom

---

# 2
A plane-wave DFT calculation with meta-GGA SCAN was carried out for a crystal of BaLi2Ca2 relaxed with PBEsol.

```
data_BaLi2Ca2
_chemical_formula_sum 'Ba2 Li4 Ca4'
_symmetry_space_group_name_H-M 'P 4/m b m'
_symmetry_Int_Tables_number 127
_symmetry_space_group_name_Hall '-P 4 2ab'
_cell_length_a 9.339
_cell_length_b 9.339
_cell_length_c 4.163
_cell_angle_alpha 90.00
_cell_angle_beta 90.00
_cell_angle_gamma 90.00
loop_
_atom_site_label
_atom_site_fract_x
_atom_site_fract_y
_atom_site_fract_z
Ba1 0.000 0.000 0.000
Li1 0.127 0.373 0.000
Ca1 0.160 0.660 0.500
```

## Properties
uncorrected energy = -126.90 eV for the cell shown
energy of formation = 41 meV/atom

---

# 3
A plane-wave DFT calculation with meta-GGA SCAN was carried out for a crystal of ScCoW3 relaxed with PBEsol.

```
data_ScCoW3
_chemical_formula_sum 'Sc1 Co1 W3'
_symmetry_space_group_name_H-M 'P m -3 m'
_symmetry_Int_Tables_number 221
_symmetry_space_group_name_Hall '-P 4 2 3'
_cell_length_a 4.496
_cell_length_b 4.496
_cell_length_c 4.496
_cell_angle_alpha 90.00
_cell_angle_beta 90.00
_cell_angle_gamma 90.00
loop_
_atom_site_label
_atom_site_fract_x
_atom_site_fract_y
_atom_site_fract_z
Sc1 0.000 0.000 0.000
Co1 0.500 0.500 0.500
W1 0.000 0.000 0.500
```

## Properties
uncorrected energy = -226.39 eV for the cell shown
energy of formation = 2843 meV/atom

---

# 4
A plane-wave DFT calculation with meta-GGA SCAN was carried out for a crystal of HfZnI2O relaxed with PBEsol.

```
data_HfZnI2O
_chemical_formula_sum 'Hf1 Zn1 I2 O1'
_symmetry_space_group_name_H-M 'P 4/m m m'
_symmetry_Int_Tables_number 123
_symmetry_space_group_name_Hall '-P 4 2'
_cell_length_a 5.748
_cell_length_b 5.748
_cell_length_c 3.940
_cell_angle_alpha 90.00
_cell_angle_beta 90.00
_cell_angle_gamma 90.00
loop_
_atom_site_label
_atom_site_fract_x
_atom_site_fract_y
_atom_site_fract_z
Hf1 0.000 0.000 0.000
Zn1 0.500 0.500 0.500
I1 0.000 0.500 0.000
O1 0.000 0.000 0.500
```

## Properties
uncorrected energy = -161.27 eV for the cell shown
raw formation energy = -1.073 eV/atom

---

Across the entries above, magnetization takes the values 0.0, 0.1, 2.0, 0.0 μB/f.u., respectively.